(1)
Entry from Alexandria: a geometry-optimized Tm7Te2Os2 structure (PBE).

Cell: 7.3038 6.7138 6.7139 Å, 81.57 90.00 90.00°
Last column: nearest neighbours and their distance in Å.
Element x y z (fractional)
Tm (0.7804, 0.5000, 0.5000)  2 Os 2.79
Tm (0.0000, 0.0000, 0.0000)  2 Os 2.80
Tm (0.2299, 0.0000, 0.5000)  2 Os 2.77
Tm (0.2299, 0.5000, 0.0000)  2 Os 2.77
Tm (0.7701, 0.0000, 0.5000)  2 Os 2.77
Tm (0.2196, 0.5000, 0.5000)  2 Os 2.79
Te (0.5000, 0.7713, 0.2287)  6 Tm 3.14-3.22
Tm (0.7701, 0.5000, 0.0000)  2 Os 2.77
Te (0.5000, 0.2287, 0.7713)  6 Tm 3.14-3.22
Os (0.0000, 0.2758, 0.2758)  7 Tm 2.77-2.80
Os (0.0000, 0.7242, 0.7242)  7 Tm 2.77-2.80

Properties
Relative energy among the computed polymorphs   172 meV/atom



(2)
Entry from Alexandria: a geometry-optimized LiTcTeN2 structure (PBE).

Cell: 3.8015 3.8015 4.6802 Å, 90.00 90.00 90.00°
Last column: nearest neighbours and their distance in Å.
Element x y z (fractional)
Te (0.0000, 0.0000, 0.5000)  2 Li 2.34
N (0.0000, 0.5000, 0.0000)  2 Li 1.90
Li (0.0000, 0.0000, 0.0000)  4 N 1.90
Tc (0.5000, 0.5000, 0.5000)  4 Te 2.69
N (0.5000, 0.0000, 0.0000)  2 Li 1.90

Properties
Relative energy among the computed polymorphs   1622 meV/atom



(3)
Entry from Alexandria: a geometry-optimized Y3Ge4Pd structure (PBE).

Cell: 4.2845 5.8883 8.2269 Å, 110.97 105.09 90.00°
Last column: nearest neighbours and their distance in Å.
Element x y z (fractional)
Ge (0.6239, 0.8351, 0.2477)  1 Ge 2.49, 1 Pd 2.50
Y (0.8072, 0.8072, 0.6144)  6 Ge 2.92-2.98
Ge (0.3761, 0.5874, 0.7523)  1 Ge 2.49, 1 Pd 2.50
Ge (0.3761, 0.1649, 0.7523)  1 Ge 2.49, 1 Pd 2.50
Pd (0.5000, 0.0000, 0.0000)  4 Ge 2.50
Y (0.1928, 0.1928, 0.3856)  6 Ge 2.92-2.98
Ge (0.6239, 0.4126, 0.2477)  1 Ge 2.49, 1 Pd 2.50
Y (0.0000, 0.5000, 0.0000)  8 Ge 3.08

Properties
Formation energy from the elements   -551.5 kJ/mol of formula units



(4)
Entry from Alexandria: a geometry-optimized Pr6Si2GeSe3 structure (PBE).

Cell: 4.3014 8.6506 9.6623 Å, 103.73 102.86 90.00°
Last column: nearest neighbours and their distance in Å.
Element x y z (fractional)
Si (0.1667, 0.3332, 0.3334)  6 Pr 3.00-3.01
Pr (0.3311, 0.4227, 0.6621)  3 Si 3.00-3.01, 3 Se 3.09
Pr (0.6689, 0.5773, 0.3379)  3 Si 3.00-3.01, 3 Se 3.09
Pr (0.6653, 0.0897, 0.3306)  2 Si 3.01, 1 Ge 3.02, 3 Se 3.08-3.10
Si (0.8333, 0.6668, 0.6666)  6 Pr 3.00-3.01
Pr (0.0023, 0.2459, 0.0047)  1 Si 3.00, 2 Ge 3.02, 3 Se 3.08-3.09
Se (0.8335, 0.1669, 0.6669)  6 Pr 3.08-3.10
Pr (0.9977, 0.7541, 0.9953)  1 Si 3.00, 2 Ge 3.02, 3 Se 3.08-3.09
Se (0.5000, 0.5000, 0.0000)  6 Pr 3.08-3.09
Ge (0.5000, 0.0000, 0.0000)  6 Pr 3.02
Pr (0.3347, 0.9103, 0.6694)  2 Si 3.01, 1 Ge 3.02, 3 Se 3.08-3.10
Se (0.1665, 0.8331, 0.3331)  6 Pr 3.08-3.10

Properties
Uncorrected energy   -5.873 eV per atom



(5)
Entry from Alexandria: a geometry-optimized BaNaNb structure (PBE).

Cell: 16.0342 4.4754 4.4754 Å, 117.39 112.69 67.31°
Last column: nearest neighbours and their distance in Å.
Element x y z (fractional)
Ba (0.6710, 0.3382, 0.6618)  6 Nb 3.58-3.59
Na (0.9140, 0.7557, 0.2443)  3 Na 3.58-3.63
Nb (0.5002, 0.1584, 0.8416)  3 Nb 2.43-2.71
Na (0.0860, 0.2443, 0.7557)  3 Na 3.58-3.63
Nb (0.4998, 0.8416, 0.1584)  3 Nb 2.43-2.71
Ba (0.3290, 0.6618, 0.3382)  6 Nb 3.58-3.59

Properties
Formation energy from the elements   143.7 kJ/mol of formula units
Relative energy among the computed polymorphs   161 meV/atom



(6)
Entry from Alexandria: a geometry-optimized LiZr2Ta structure (PBE).

Cell: 4.7979 4.7979 4.7979 Å, 60.00 60.00 60.00°
Last column: nearest neighbours and their distance in Å.
Element x y z (fractional)
Li (0.0000, 0.0000, 0.0000)  8 Zr 2.94
Ta (0.5000, 0.5000, 0.5000)  8 Zr 2.94
Zr (0.2500, 0.2500, 0.2500)  4 Ta 2.94, 4 Li 2.94
Zr (0.7500, 0.7500, 0.7500)  4 Ta 2.94, 4 Li 2.94

Properties
Formation energy from the elements   82.3 kJ/mol of formula units
Relative energy among the computed polymorphs   69 meV/atom



(7)
Entry from Alexandria: a geometry-optimized In3PPt structure (PBE).

Cell: 5.1541 5.1541 5.1541 Å, 90.00 90.00 90.00°
Last column: nearest neighbours and their distance in Å.
Element x y z (fractional)
Pt (0.0000, 0.0000, 0.0000)  6 In 2.58
In (0.5000, 0.0000, 0.0000)  2 Pt 2.58
In (0.0000, 0.0000, 0.5000)  2 Pt 2.58
P (0.5000, 0.5000, 0.5000)  12 In 3.64
In (0.0000, 0.5000, 0.0000)  2 Pt 2.58

Properties
Formation energy from the elements   79.8 kJ/mol of formula units
Relative energy among the computed polymorphs   0 meV/atom



(8)
Entry from Alexandria: a geometry-optimized Sr4WSe structure (PBE).

Cell: 6.8181 6.8181 6.8181 Å, 60.00 60.00 60.00°
Last column: nearest neighbours and their distance in Å.
Element x y z (fractional)
Sr (0.8731, 0.3756, 0.3756)  6 Sr 3.39-3.43
W (0.7500, 0.7500, 0.7500)  12 Sr 4.00, 4 Se 4.18
Sr (0.3756, 0.3756, 0.3756)  6 Sr 3.39-3.43
Sr (0.3756, 0.3756, 0.8731)  6 Sr 3.39-3.43
Sr (0.3756, 0.8731, 0.3756)  6 Sr 3.39-3.43
Se (0.0000, 0.0000, 0.0000)  12 Sr 4.00, 4 W 4.18

Properties
Uncorrected energy   -2.814 eV per atom



How do the records compare in theoretical density? In the order shown, they have 9.271 6.397 5.922 5.916 3.305 7.874 6.919 4.544 g/cm³.
How do the records compare in magnetic moment? In the order shown, they have 0.00 0.00 0.00 0.00 0.00 0.00 0.00 3.30 Bohr magnetons per cell.